# 1
Density functional theory data (PBE) for crystalline Cd3SbN at its relaxed geometry.

```
20
Lattice="6.6406 0.0000 0.0000 0.0000 9.3578 0.0000 0.0000 0.0000 6.7283" Properties=species:S:1:pos:R:3 pbc="T T T"
Cd 0.0816 2.3395 0.4891
Cd 1.5256 0.3675 4.9016
Cd 1.5256 4.3114 4.9016
Cd 1.7947 5.0465 1.5374
Cd 1.7947 8.9903 1.5374
Cd 3.2388 7.0184 3.8533
Cd 3.4019 2.3395 2.8750
Cd 4.8459 0.3675 5.1909
Cd 4.8459 4.3114 5.1909
Cd 5.1151 5.0465 1.8267
Cd 5.1151 8.9903 1.8267
Cd 6.5591 7.0184 6.2392
Sb 0.1406 7.0184 3.3277
Sb 3.1797 2.3395 6.6919
Sb 3.4609 7.0184 0.0364
Sb 6.5000 2.3395 3.4006
N 0.0000 0.0000 0.0000
N 0.0000 4.6789 0.0000
N 3.3203 0.0000 3.3642
N 3.3203 4.6789 3.3642
```

Calculated values
The value obtained for the mass density is 7.51 Mg/m³. The density of states at the Fermi level comes out at 0.2481 states/eV/atom. Its uncorrected formation energy is 0.35 eV per atom. As for the space-group type: Pnma. The energy relative to the lowest polymorph listed for this composition is 0.000 eV/atom.

---

# 2
Density functional theory data (PBE) for crystalline Cd3SbN at its relaxed geometry.

```
5
Lattice="5.5885 0.0000 0.0000 0.0000 5.5885 0.0000 0.0000 0.0000 5.5885" Properties=species:S:1:pos:R:3 pbc="T T T"
Cd 0.0000 0.0000 2.7942
Cd 0.0000 2.7942 0.0000
Cd 2.7942 0.0000 0.0000
Sb 0.0000 0.0000 0.0000
N 2.7942 2.7942 2.7942
```

Calculated values
The value obtained for the mass density is 4.50 Mg/m³. The density of states at the Fermi level comes out at 3.6539 states/eV/atom. Its uncorrected formation energy is 1.50 eV per atom. As for the space-group type: Pm-3m. The energy relative to the lowest polymorph listed for this composition is 1.156 eV/atom.

---

# 3
Density functional theory data (PBE) for crystalline CdSb2N at its relaxed geometry.

```
4
Lattice="0.0000 3.4410 3.4410 3.4410 0.0000 3.4410 3.4410 3.4410 0.0000" Properties=species:S:1:pos:R:3 pbc="T T T"
Cd 0.0000 0.0000 0.0000
Sb 1.7205 1.7205 1.7205
Sb 5.1615 5.1615 5.1615
N 3.4410 3.4410 3.4410
```

Calculated values
The value obtained for the mass density is 7.54 Mg/m³. The density of states at the Fermi level comes out at 0.6253 states/eV/atom. Its uncorrected formation energy is 1.14 eV per atom. As for the space-group type: Fm-3m. The energy relative to the lowest polymorph listed for this composition is 0.596 eV/atom.

---

# 4
Density functional theory data (PBE) for crystalline CdSb3N at its relaxed geometry.

```
5
Lattice="5.4542 0.0000 0.0000 0.0000 5.4542 0.0000 0.0000 0.0000 5.4542" Properties=species:S:1:pos:R:3 pbc="T T T"
Cd 0.0000 0.0000 0.0000
Sb 0.0000 0.0000 2.7271
Sb 0.0000 2.7271 0.0000
Sb 2.7271 0.0000 0.0000
N 2.7271 2.7271 2.7271
```

Calculated values
The value obtained for the mass density is 5.03 Mg/m³. The density of states at the Fermi level comes out at 2.1503 states/eV/atom. Its uncorrected formation energy is 1.97 eV per atom. As for the space-group type: Pm-3m. The energy relative to the lowest polymorph listed for this composition is 1.427 eV/atom.

---

# 5
Density functional theory data (PBE) for crystalline CdSbN2 at its relaxed geometry.

```
4
Lattice="1.6213 0.9361 6.8189 -1.6213 0.9361 6.8189 0.0000 -1.8722 6.8189" Properties=species:S:1:pos:R:3 pbc="T T T"
Cd 0.0000 0.0000 0.0000
Sb 0.0000 0.0000 10.2284
N 0.0000 0.0000 2.3143
N 0.0000 0.0000 18.1425
```

Calculated values
The value obtained for the mass density is 7.01 Mg/m³. The density of states at the Fermi level comes out at 0.5246 states/eV/atom. Its uncorrected formation energy is 0.55 eV per atom. As for the space-group type: R-3m. The energy relative to the lowest polymorph listed for this composition is 0.349 eV/atom.

---

# 6
Density functional theory data (PBE) for crystalline CdSb3N at its relaxed geometry.

```
5
Lattice="4.8136 0.0000 0.0000 0.0000 4.8136 0.0000 0.0000 0.0000 4.8136" Properties=species:S:1:pos:R:3 pbc="T T T"
Cd 0.0000 0.0000 0.0000
Sb 0.0000 2.4068 2.4068
Sb 2.4068 0.0000 2.4068
Sb 2.4068 2.4068 0.0000
N 2.4068 2.4068 2.4068
```

Calculated values
The value obtained for the mass density is 7.32 Mg/m³. The density of states at the Fermi level comes out at 0.7149 states/eV/atom. Its uncorrected formation energy is 0.55 eV per atom. As for the space-group type: Pm-3m. The energy relative to the lowest polymorph listed for this composition is 0.000 eV/atom.

---

# 7
Density functional theory data (PBE) for crystalline CdSbN2 at its relaxed geometry.

```
4
Lattice="1.7906 1.0338 6.2044 -1.7906 1.0338 6.2044 0.0000 -2.0676 6.2044" Properties=species:S:1:pos:R:3 pbc="T T T"
Cd 0.0000 0.0000 0.0000
Sb 0.0000 0.0000 9.3067
N 0.0000 0.0000 7.3364
N 0.0000 0.0000 11.2769
```

Calculated values
The value obtained for the mass density is 6.32 Mg/m³. The density of states at the Fermi level comes out at 0.7521 states/eV/atom. Its uncorrected formation energy is 1.07 eV per atom. As for the space-group type: R-3m. The energy relative to the lowest polymorph listed for this composition is 0.868 eV/atom.

---

# 8
Density functional theory data (PBE) for crystalline Cd2SbN at its relaxed geometry.

```
4
Lattice="0.0000 3.4767 3.4767 3.4767 0.0000 3.4767 3.4767 3.4767 0.0000" Properties=species:S:1:pos:R:3 pbc="T T T"
Cd 1.7383 1.7383 1.7383
Cd 5.2150 5.2150 5.2150
Sb 0.0000 0.0000 0.0000
N 3.4767 3.4767 3.4767
```

Calculated values
The value obtained for the mass density is 7.12 Mg/m³. The density of states at the Fermi level comes out at 0.3983 states/eV/atom. Its uncorrected formation energy is 1.08 eV per atom. As for the space-group type: Fm-3m. The energy relative to the lowest polymorph listed for this composition is 0.553 eV/atom.

---

# 9
Density functional theory data (PBE) for crystalline Cd2SbN at its relaxed geometry.

```
8
Lattice="-3.1232 3.1232 4.9311 3.1232 -3.1232 4.9311 3.1232 3.1232 -4.9311" Properties=species:S:1:pos:R:3 pbc="T T T"
Cd 4.6848 0.8584 -1.2328
Cd 0.8584 1.5616 1.2328
Cd -1.5616 2.2648 3.6983
Cd 2.2648 1.5616 6.1639
Sb 3.1232 0.0000 2.4656
Sb 0.0000 0.0000 4.9311
N 0.0000 0.0000 0.0000
N 0.0000 3.1232 2.4656
```

Calculated values
The value obtained for the mass density is 6.22 Mg/m³. The density of states at the Fermi level comes out at 0.1067 states/eV/atom. Its uncorrected formation energy is 0.53 eV per atom. As for the space-group type: I-42d. The energy relative to the lowest polymorph listed for this composition is 0.000 eV/atom.

---

# 10
Density functional theory data (PBE) for crystalline CdSb2N at its relaxed geometry.

```
8
Lattice="-2.9030 2.9030 5.9328 2.9030 -2.9030 5.9328 2.9030 2.9030 -5.9328" Properties=species:S:1:pos:R:3 pbc="T T T"
Cd 0.0000 0.0000 0.0000
Cd 0.0000 2.9030 2.9664
Sb 1.4515 -0.9477 4.4496
Sb 1.9553 1.4515 1.4832
Sb 1.4515 3.8506 -1.4832
Sb 0.9477 1.4515 7.4160
N 2.9030 0.0000 2.9664
N 0.0000 0.0000 5.9328
```

Calculated values
The value obtained for the mass density is 6.14 Mg/m³. The density of states at the Fermi level comes out at 0.6221 states/eV/atom. Its uncorrected formation energy is 0.55 eV per atom. As for the space-group type: I-42d. The energy relative to the lowest polymorph listed for this composition is 0.000 eV/atom.

---

# 11
Density functional theory data (PBE) for crystalline Cd3SbN at its relaxed geometry.

```
5
Lattice="4.6979 0.0000 0.0000 0.0000 4.6979 0.0000 0.0000 0.0000 4.6979" Properties=species:S:1:pos:R:3 pbc="T T T"
Cd 0.0000 0.0000 2.3490
Cd 0.0000 2.3490 0.0000
Cd 2.3490 0.0000 0.0000
Sb 2.3490 2.3490 2.3490
N 0.0000 0.0000 0.0000
```

Calculated values
The value obtained for the mass density is 7.58 Mg/m³. The density of states at the Fermi level comes out at 0.1216 states/eV/atom. Its uncorrected formation energy is 0.37 eV per atom. As for the space-group type: Pm-3m. The energy relative to the lowest polymorph listed for this composition is 0.024 eV/atom.

---

# 12
Density functional theory data (PBE) for crystalline Cd2SbN2 at its relaxed geometry.

```
5
Lattice="4.2937 -2.4799 0.0000 4.2937 2.4799 0.0000 -2.9932 0.0000 9.5160" Properties=species:S:1:pos:R:3 pbc="T T T"
Cd 1.4296 0.0000 0.8786
Cd 4.1646 0.0000 8.6373
Sb 4.2937 0.0000 0.0000
N 2.3206 0.0000 4.4694
N 3.2736 0.0000 5.0466
```

Calculated values
The value obtained for the mass density is 3.07 Mg/m³. The density of states at the Fermi level comes out at 0.1376 states/eV/atom. Its uncorrected formation energy is 0.16 eV per atom. As for the space-group type: C2/m.

---

# 13
Density functional theory data (PBE) for crystalline CdSbN2 at its relaxed geometry.

```
8
Lattice="-2.5778 2.5778 5.1084 2.5778 -2.5778 5.1084 2.5778 2.5778 -5.1084" Properties=species:S:1:pos:R:3 pbc="T T T"
Cd 0.0000 0.0000 0.0000
Cd 0.0000 2.5778 2.5542
Sb 2.5778 0.0000 2.5542
Sb 0.0000 0.0000 5.1084
N 1.2889 -1.1110 3.8313
N 1.4668 1.2889 1.2771
N 1.2889 3.6887 -1.2771
N 1.1110 1.2889 6.3856
```

Calculated values
The value obtained for the mass density is 6.41 Mg/m³. The density of states at the Fermi level comes out at 0.1453 states/eV/atom. Its uncorrected formation energy is 0.52 eV per atom. As for the space-group type: I-42d. The energy relative to the lowest polymorph listed for this composition is 0.325 eV/atom.

---

# 14
Density functional theory data (PBE) for crystalline CdSbSeN2 at its relaxed geometry.

```
5
Lattice="4.0192 0.0000 0.0000 0.0000 4.0192 0.0000 0.0000 0.0000 5.8901" Properties=species:S:1:pos:R:3 pbc="T T T"
Cd 0.0000 0.0000 0.0000
Sb 2.0096 2.0096 2.9450
Se 2.0096 2.0096 0.0000
N 0.0000 2.0096 2.9450
N 2.0096 0.0000 2.9450
```

Calculated values
The value obtained for the mass density is 5.95 Mg/m³. The density of states at the Fermi level comes out at 0.4160 states/eV/atom. Its uncorrected formation energy is 0.99 eV per atom. As for the space-group type: P4/mmm. The energy relative to the lowest polymorph listed for this composition is 0.000 eV/atom.

---

# 15
Density functional theory data (PBE) for crystalline CdSbSeN2 at its relaxed geometry.

```
5
Lattice="4.3053 0.0000 0.0000 0.0000 4.3053 0.0000 0.0000 0.0000 5.7247" Properties=species:S:1:pos:R:3 pbc="T T T"
Cd 0.0000 0.0000 0.0000
Sb 2.1527 2.1527 2.8624
Se 0.0000 0.0000 2.8624
N 0.0000 2.1527 0.0000
N 2.1527 0.0000 0.0000
```

Calculated values
The value obtained for the mass density is 5.34 Mg/m³. The density of states at the Fermi level comes out at 0.5141 states/eV/atom. Its uncorrected formation energy is 1.59 eV per atom. As for the space-group type: P4/mmm. The energy relative to the lowest polymorph listed for this composition is 0.608 eV/atom.

---

# 16
Density functional theory data (PBE) for crystalline Sr2CdSbN at its relaxed geometry.

```
5
Lattice="5.3192 0.0000 0.0000 0.0000 5.3192 0.0000 0.0000 0.0000 4.5099" Properties=species:S:1:pos:R:3 pbc="T T T"
Sr 0.0000 2.6596 0.0000
Sr 2.6596 0.0000 0.0000
Cd 0.0000 0.0000 2.2549
Sb 2.6596 2.6596 2.2549
N 0.0000 0.0000 0.0000
```

Calculated values
The value obtained for the mass density is 5.51 Mg/m³. The density of states at the Fermi level comes out at 0.1223 states/eV/atom. Its uncorrected formation energy is -0.61 eV per atom. As for the space-group type: P4/mmm.

---

# 17
Density functional theory data (PBE) for crystalline CdTcSbN2 at its relaxed geometry.

```
5
Lattice="3.9284 0.0000 0.0000 0.0000 3.9284 0.0000 0.0000 0.0000 5.7057" Properties=species:S:1:pos:R:3 pbc="T T T"
Cd 0.0000 0.0000 0.0000
Tc 0.0000 0.0000 2.8528
Sb 1.9642 1.9642 0.0000
N 0.0000 1.9642 2.8528
N 1.9642 0.0000 2.8528
```

Calculated values
The value obtained for the mass density is 6.79 Mg/m³. The density of states at the Fermi level comes out at 0.4697 states/eV/atom. Its uncorrected formation energy is 0.83 eV per atom. As for the space-group type: P4/mmm.

---

# 18
Density functional theory data (PBE) for crystalline ScCdN3 at its relaxed geometry.

```
5
Lattice="4.1302 0.0000 0.0000 0.0000 4.1302 0.0000 0.0000 0.0000 4.1302" Properties=species:S:1:pos:R:3 pbc="T T T"
Sc 0.0000 0.0000 0.0000
Cd 2.0651 2.0651 2.0651
N 0.0000 0.0000 2.0651
N 0.0000 2.0651 0.0000
N 2.0651 0.0000 0.0000
```

Calculated values
The value obtained for the mass density is 4.70 Mg/m³. The density of states at the Fermi level comes out at 0.9335 states/eV/atom. Its uncorrected formation energy is 1.00 eV per atom. As for the space-group type: Pm-3m.

---

# 19
Density functional theory data (PBE) for crystalline Sc4Cd2N at its relaxed geometry.

```
7
Lattice="-2.2368 2.2368 7.1828 2.2368 -2.2368 7.1828 2.2368 2.2368 -7.1828" Properties=species:S:1:pos:R:3 pbc="T T T"
Sc 2.2368 0.0000 0.0000
Sc 0.0000 0.0000 2.2941
Sc 0.0000 2.2368 0.0000
Sc 0.0000 0.0000 12.0714
Cd 0.0000 0.0000 5.2154
Cd 0.0000 0.0000 9.1502
N 0.0000 0.0000 0.0000
```

Calculated values
The value obtained for the mass density is 4.84 Mg/m³. The density of states at the Fermi level comes out at 1.3321 states/eV/atom. Its uncorrected formation energy is -0.59 eV per atom. As for the space-group type: I4/mmm. The energy relative to the lowest polymorph listed for this composition is 0.000 eV/atom.

---

# 20
Density functional theory data (PBE) for crystalline ScCdN at its relaxed geometry.

```
12
Lattice="6.1788 0.0000 0.0000 0.0000 5.8083 0.0000 -1.0913 0.0000 5.8358" Properties=species:S:1:pos:R:3 pbc="T T T"
Sc 0.1678 0.1460 1.5349
Sc -0.3779 2.7582 4.4528
Sc 5.4654 3.0501 1.3829
Sc 4.9197 5.6623 4.3008
Cd 2.7052 4.3348 0.5777
Cd 2.1596 4.3776 3.4956
Cd 2.9279 1.4306 2.3401
Cd 2.3823 1.4735 5.2580
N 0.3501 4.3579 0.0708
N -0.1955 4.3545 2.9887
N 5.2831 1.4538 2.8471
N 4.7374 1.4504 5.7650
```

Calculated values
The value obtained for the mass density is 5.44 Mg/m³. The density of states at the Fermi level comes out at 0.1492 states/eV/atom. Its uncorrected formation energy is -0.87 eV per atom. As for the space-group type: P2_1/c.